[1]
Compound: YCo2Sb
Source: the Alexandria database
Functional: GGA-PBE
Structure: optimized geometry

Unit cell a=5.7958 b=5.7958 c=5.7958 alpha=41.41 beta=41.41 gamma=41.41
Last column: nearest neighbours and their distance in Å.
Sites, in units of the cell vectors:
Co  0.9493  0.9493  0.9493  3 Co 2.37
Co  0.2787  0.2787  0.2787  3 Co 2.37, 3 Sb 2.65
Sb  0.5368  0.5368  0.5368  6 Co 2.65-2.68
Y  0.7352  0.7352  0.7352  6 Co 3.03-3.07, 4 Sb 3.15-3.19

* energy relative to the elements, uncorrected: -0.311 eV/atom
* electronic total energy: -26.04 eV/cell
* D(E_F): 1.430 states/eV per atom

---

[2]
Compound: LaPrBeZn
Source: the Alexandria database
Functional: GGA-PBE
Structure: optimized geometry

Unit cell a=5.1750 b=5.1750 c=5.1750 alpha=60.00 beta=60.00 gamma=60.00
Last column: nearest neighbours and their distance in Å.
Sites, in units of the cell vectors:
Pr  0.7500  0.7500  0.7500  4 Zn 3.17, 4 Be 3.17
Be  0.5000  0.5000  0.5000  4 Pr 3.17, 4 La 3.17
Zn  0.0000  0.0000  0.0000  4 La 3.17, 4 Pr 3.17
La  0.2500  0.2500  0.2500  4 Be 3.17, 4 Zn 3.17

* electronic total energy: -14.82 eV/cell
* D(E_F): 0.851 states/eV per atom

---

[3]
Compound: Sm3InH
Source: the Alexandria database
Functional: GGA-PBE
Structure: optimized geometry

Unit cell a=11.3215 b=8.7346 c=6.7632 alpha=90.00 beta=90.00 gamma=130.42
Last column: nearest neighbours and their distance in Å.
Sites, in units of the cell vectors:
Sm  0.7516  0.0081  0.0095  1 H 2.27
Sm  0.2484  0.9919  0.9905  1 H 2.27
Sm  0.7484  0.9920  0.5095  1 H 2.27
Sm  0.2516  0.0080  0.4905  1 H 2.27
Sm  0.3467  0.7015  0.7818  1 H 2.28
Sm  0.6533  0.2985  0.2182  1 H 2.28
Sm  0.1533  0.2985  0.2818  1 H 2.28
Sm  0.8467  0.7015  0.7182  1 H 2.28
Sm  0.0377  0.5523  0.2474  2 H 2.25-2.26
Sm  0.9623  0.4477  0.7526  2 H 2.25-2.26
Sm  0.4623  0.4477  0.7474  2 H 2.25-2.26
Sm  0.5377  0.5523  0.2526  2 H 2.25-2.26
In  0.4124  0.8094  0.2862  1 H 3.19, 9 Sm 3.28-3.55
In  0.5876  0.1906  0.7138  1 H 3.19, 9 Sm 3.28-3.55
In  0.0876  0.1906  0.7861  1 H 3.20, 9 Sm 3.28-3.55
In  0.9124  0.8094  0.2139  1 H 3.20, 9 Sm 3.28-3.55
H  0.6608  0.6746  0.5465  4 Sm 2.25-2.28
H  0.3392  0.3254  0.4535  4 Sm 2.25-2.28
H  0.8392  0.3254  0.0465  4 Sm 2.25-2.28
H  0.1608  0.6746  0.9535  4 Sm 2.25-2.28

* energy above the most stable polymorph in this dataset: 0.077 eV/atom
* electronic total energy: -86.69 eV/cell
* D(E_F): 0.940 states/eV per atom

---

The highest electronic total energy belongs to which entry? LaPrBeZn